Model a:
# BaSr6Ca12

BaSr6Ca12 after structural relaxation (PBE-GGA, the Alexandria database).

Lattice parameters (Å, degrees): 9.7503 9.7503 9.7503 90.69 90.69 90.69
With the nearest neighbours (Å) after each atom.
Positions (direct):
Ba (0.0000, 0.0000, 0.0000)  6 Sr 3.94, 6 Ca 3.96
Sr (0.1158, 0.2746, 0.7305)  8 Ca 3.83-4.19, 1 Ba 3.94, 2 Sr 4.11
Sr (0.2695, 0.8842, 0.7254)  8 Ca 3.83-4.19, 1 Ba 3.94, 2 Sr 4.11
Sr (0.2746, 0.7305, 0.1158)  8 Ca 3.83-4.19, 1 Ba 3.94, 2 Sr 4.11
Sr (0.7254, 0.2695, 0.8842)  8 Ca 3.83-4.19, 1 Ba 3.94, 2 Sr 4.11
Sr (0.7305, 0.1158, 0.2746)  8 Ca 3.83-4.19, 1 Ba 3.94, 2 Sr 4.11
Sr (0.8842, 0.7254, 0.2695)  8 Ca 3.83-4.19, 1 Ba 3.94, 2 Sr 4.11
Ca (0.0460, 0.3748, 0.1562)  4 Ca 3.84-4.03, 4 Sr 3.93-4.19, 1 Ba 3.96
Ca (0.1562, 0.0460, 0.3748)  4 Ca 3.84-4.03, 4 Sr 3.93-4.19, 1 Ba 3.96
Ca (0.2064, 0.5541, 0.4730)  4 Sr 3.83-4.08, 4 Ca 3.84-4.19
Ca (0.3748, 0.1562, 0.0460)  4 Ca 3.84-4.03, 4 Sr 3.93-4.19, 1 Ba 3.96
Ca (0.4459, 0.5270, 0.7936)  4 Sr 3.83-4.08, 4 Ca 3.84-4.19
Ca (0.4730, 0.2064, 0.5541)  4 Sr 3.83-4.08, 4 Ca 3.84-4.19
Ca (0.5270, 0.7936, 0.4459)  4 Sr 3.83-4.08, 4 Ca 3.84-4.19
Ca (0.5541, 0.4730, 0.2064)  4 Sr 3.83-4.08, 4 Ca 3.84-4.19
Ca (0.6252, 0.8438, 0.9540)  4 Ca 3.84-4.03, 4 Sr 3.93-4.19, 1 Ba 3.96
Ca (0.7936, 0.4459, 0.5270)  4 Sr 3.83-4.08, 4 Ca 3.84-4.19
Ca (0.8438, 0.9540, 0.6252)  4 Ca 3.84-4.03, 4 Sr 3.93-4.19, 1 Ba 3.96
Ca (0.9540, 0.6252, 0.8438)  4 Ca 3.84-4.03, 4 Sr 3.93-4.19, 1 Ba 3.96

---

Model b:
# BaSr6Ca12

BaSr6Ca12 after structural relaxation (PBE-GGA, the Alexandria database).

Lattice parameters (Å, degrees): 9.9549 9.9549 9.9549 99.94 99.94 99.94
With the nearest neighbours (Å) after each atom.
Positions (direct):
Ba (0.0000, 0.0000, 0.0000)  6 Sr 3.93, 6 Ca 4.22
Sr (0.1066, 0.1066, 0.6651)  3 Sr 3.67-4.05, 2 Ca 3.82, 1 Ba 3.93
Sr (0.1066, 0.6651, 0.1066)  3 Sr 3.67-4.05, 2 Ca 3.82, 1 Ba 3.93
Sr (0.3349, 0.8934, 0.8934)  3 Sr 3.67-4.05, 2 Ca 3.82, 1 Ba 3.93
Sr (0.6651, 0.1066, 0.1066)  3 Sr 3.67-4.05, 2 Ca 3.82, 1 Ba 3.93
Sr (0.8934, 0.3349, 0.8934)  3 Sr 3.67-4.05, 2 Ca 3.82, 1 Ba 3.93
Sr (0.8934, 0.8934, 0.3349)  3 Sr 3.67-4.05, 2 Ca 3.82, 1 Ba 3.93
Ca (0.0739, 0.3399, 0.3399)  6 Ca 3.85-4.10, 1 Ba 4.22, 2 Sr 4.30
Ca (0.2464, 0.5000, 0.7536)  4 Sr 3.82-4.18, 6 Ca 3.85-4.10
Ca (0.2464, 0.7536, 0.5000)  4 Sr 3.82-4.18, 6 Ca 3.85-4.10
Ca (0.3399, 0.0739, 0.3399)  6 Ca 3.85-4.10, 1 Ba 4.22, 2 Sr 4.30
Ca (0.3399, 0.3399, 0.0739)  6 Ca 3.85-4.10, 1 Ba 4.22, 2 Sr 4.30
Ca (0.5000, 0.2464, 0.7536)  4 Sr 3.82-4.18, 6 Ca 3.85-4.10
Ca (0.5000, 0.7536, 0.2464)  4 Sr 3.82-4.18, 6 Ca 3.85-4.10
Ca (0.6601, 0.6601, 0.9261)  6 Ca 3.85-4.10, 1 Ba 4.22, 2 Sr 4.30
Ca (0.6601, 0.9261, 0.6601)  6 Ca 3.85-4.10, 1 Ba 4.22, 2 Sr 4.30
Ca (0.7536, 0.2464, 0.5000)  4 Sr 3.82-4.18, 6 Ca 3.85-4.10
Ca (0.7536, 0.5000, 0.2464)  4 Sr 3.82-4.18, 6 Ca 3.85-4.10
Ca (0.9261, 0.6601, 0.6601)  6 Ca 3.85-4.10, 1 Ba 4.22, 2 Sr 4.30

---

We find model a to be the most stable, with the next structure 21 meV per atom higher.

---

Model a:
# BaSrCa4

BaSrCa4 after structural relaxation (PBE-GGA, the Alexandria database).

Lattice parameters (Å, degrees): 3.9162 6.4503 11.1029 89.82 89.49 89.73
With the nearest neighbours (Å) after each atom.
Positions (direct):
Ba (0.0000, 0.0000, 0.0000)  2 Ba 3.92, 6 Ca 3.98
Sr (0.0000, 0.5000, 0.5000)  2 Sr 3.92, 6 Ca 3.93-3.94
Ca (0.3428, 0.0002, 0.3363)  5 Ca 3.85-3.92, 2 Sr 3.93, 1 Ba 3.98
Ca (0.3569, 0.5004, 0.8303)  5 Ca 3.89-3.94, 1 Sr 3.94, 2 Ba 3.98
Ca (0.6431, 0.4996, 0.1697)  5 Ca 3.89-3.94, 1 Sr 3.94, 2 Ba 3.98
Ca (0.6572, 0.9998, 0.6637)  5 Ca 3.85-3.92, 2 Sr 3.93, 1 Ba 3.98

---

Model b:
# BaSrCa4

BaSrCa4 after structural relaxation (PBE-GGA, the Alexandria database).

Lattice parameters (Å, degrees): 6.5191 6.5191 7.8445 90.05 90.05 119.99
With the nearest neighbours (Å) after each atom.
Positions (direct):
Ba (0.0000, 0.0000, 0.0000)  2 Sr 3.92, 12 Ca 4.25-4.26
Sr (0.0000, 0.0000, 0.5000)  2 Ba 3.92, 12 Ca 4.23-4.24
Ca (0.3331, 0.6666, 0.2527)  5 Ca 3.76-3.96
Ca (0.3334, 0.6669, 0.7473)  5 Ca 3.76-3.96
Ca (0.6666, 0.3331, 0.2527)  5 Ca 3.76-3.96
Ca (0.6669, 0.3334, 0.7473)  5 Ca 3.76-3.96

---

We find model a to be the most stable, with the next structure 26 meV per atom higher.

---

Model a:
# Ba3Sr2Ca

Ba3Sr2Ca after structural relaxation (PBE-GGA, the Alexandria database).

Lattice parameters (Å, degrees): 10.7850 10.7850 4.8229 90.00 90.00 143.04
With the nearest neighbours (Å) after each atom.
Positions (direct):
Ba (0.0000, 0.0000, 0.0000)  4 Ca 4.18, 4 Ba 4.22
Ba (0.1691, 0.8309, 0.5000)  6 Sr 4.19-4.25, 2 Ba 4.22
Ba (0.8309, 0.1691, 0.5000)  6 Sr 4.19-4.25, 2 Ba 4.22
Sr (0.3402, 0.6598, 0.0000)  2 Ca 4.06, 6 Ba 4.19-4.25
Sr (0.6598, 0.3402, 0.0000)  2 Ca 4.06, 6 Ba 4.19-4.25
Ca (0.5000, 0.5000, 0.5000)  4 Sr 4.06, 4 Ba 4.18

---

Model b:
# Ba3Sr2Ca

Ba3Sr2Ca after structural relaxation (PBE-GGA, the Alexandria database).

Lattice parameters (Å, degrees): 8.0533 8.0533 10.6840 96.36 96.36 96.25
With the nearest neighbours (Å) after each atom.
Positions (direct):
Ba (0.0852, 0.9148, 0.7500)  1 Ca 3.93, 4 Ba 4.08-4.21
Ba (0.1826, 0.3458, 0.9999)  2 Ca 3.93-3.98, 3 Ba 4.05-4.21, 2 Sr 4.38-4.39
Ba (0.3458, 0.1826, 0.4999)  2 Ca 3.93-3.98, 3 Ba 4.05-4.21, 2 Sr 4.38-4.39
Ba (0.6542, 0.8174, 0.5001)  2 Ca 3.93-3.98, 3 Ba 4.05-4.21, 2 Sr 4.38-4.39
Ba (0.8174, 0.6542, 0.0001)  2 Ca 3.93-3.98, 3 Ba 4.05-4.21, 2 Sr 4.38-4.39
Ba (0.9148, 0.0852, 0.2500)  1 Ca 3.93, 4 Ba 4.08-4.21
Sr (0.1261, 0.6221, 0.3758)  2 Sr 4.06-4.12, 8 Ba 4.38-4.54, 3 Ca 4.44-4.52
Sr (0.3779, 0.8739, 0.1242)  2 Sr 4.06-4.12, 8 Ba 4.38-4.54, 3 Ca 4.44-4.52
Sr (0.6221, 0.1261, 0.8758)  2 Sr 4.06-4.12, 8 Ba 4.38-4.54, 3 Ca 4.44-4.52
Sr (0.8739, 0.3779, 0.6242)  2 Sr 4.06-4.12, 8 Ba 4.38-4.54, 3 Ca 4.44-4.52
Ca (0.4128, 0.5872, 0.7500)  5 Ba 3.93-3.98
Ca (0.5872, 0.4128, 0.2500)  5 Ba 3.93-3.98

---

We find model a to be the most stable, with the next structure 44 meV per atom higher.

---

Model a:
# BaSrCa3

BaSrCa3 after structural relaxation (PBE-GGA, the Alexandria database).

Lattice parameters (Å, degrees): 12.2039 12.2039 6.3752 90.00 90.00 149.82
With the nearest neighbours (Å) after each atom.
Positions (direct):
Ba (0.1544, 0.8456, 0.7500)  6 Ca 3.89-4.01, 2 Sr 4.01
Ba (0.8456, 0.1544, 0.2500)  6 Ca 3.89-4.01, 2 Sr 4.01
Sr (0.0509, 0.9491, 0.2500)  4 Ca 3.98-4.00, 2 Sr 3.99, 2 Ba 4.01
Sr (0.9491, 0.0509, 0.7500)  4 Ca 3.98-4.00, 2 Sr 3.99, 2 Ba 4.01
Ca (0.2501, 0.7499, 0.2500)  4 Ba 3.89-3.91, 4 Ca 3.90
Ca (0.3458, 0.6542, 0.7500)  6 Ca 3.90-4.01, 2 Sr 4.00
Ca (0.4493, 0.5507, 0.2500)  2 Sr 3.98, 4 Ca 3.99-4.01, 2 Ba 4.01
Ca (0.5507, 0.4493, 0.7500)  2 Sr 3.98, 4 Ca 3.99-4.01, 2 Ba 4.01
Ca (0.6542, 0.3458, 0.2500)  6 Ca 3.90-4.01, 2 Sr 4.00
Ca (0.7499, 0.2501, 0.7500)  4 Ba 3.89-3.91, 4 Ca 3.90

---

Model b:
# BaSrCa3

BaSrCa3 after structural relaxation (PBE-GGA, the Alexandria database).

Lattice parameters (Å, degrees): 6.5225 6.5225 6.5225 90.00 90.00 90.00
With the nearest neighbours (Å) after each atom.
Positions (direct):
Ba (0.0000, 0.0000, 0.0000)  12 Ca 4.61
Sr (0.5000, 0.5000, 0.5000)  6 Ca 3.26
Ca (0.0000, 0.5000, 0.5000)  2 Sr 3.26
Ca (0.5000, 0.0000, 0.5000)  2 Sr 3.26
Ca (0.5000, 0.5000, 0.0000)  2 Sr 3.26

---

We find model a to be the most stable, with the next structure 533 meV per atom higher.

---

Model a:
# Ba4SrCa

Ba4SrCa after structural relaxation (PBE-GGA, the Alexandria database).

Lattice parameters (Å, degrees): 8.0152 8.0152 8.0152 60.00 60.00 60.00
With the nearest neighbours (Å) after each atom.
Positions (direct):
Ba (0.1247, 0.1247, 0.1247)  6 Ba 4.00-4.02
Ba (0.1247, 0.1247, 0.6258)  6 Ba 4.00-4.02
Ba (0.1247, 0.6258, 0.1247)  6 Ba 4.00-4.02
Ba (0.6258, 0.1247, 0.1247)  6 Ba 4.00-4.02
Sr (0.5000, 0.5000, 0.5000)  12 Ba 4.70, 4 Ca 4.91
Ca (0.7500, 0.7500, 0.7500)  12 Ba 4.70, 4 Sr 4.91

---

Model b:
# Ba4SrCa

Ba4SrCa after structural relaxation (PBE-GGA, the Alexandria database).

Lattice parameters (Å, degrees): 11.8652 6.8882 8.4204 90.00 90.21 90.00
With the nearest neighbours (Å) after each atom.
Positions (direct):
Ba (0.1622, 0.0007, 0.4124)  5 Ba 4.13-4.21, 2 Ca 4.17, 1 Sr 4.24
Ba (0.1622, 0.9993, 0.9124)  5 Ba 4.13-4.21, 2 Ca 4.17, 1 Sr 4.24
Ba (0.3284, 0.4993, 0.0800)  1 Ca 4.16, 5 Ba 4.21-4.29, 2 Sr 4.25
Ba (0.3284, 0.5007, 0.5800)  1 Ca 4.16, 5 Ba 4.21-4.29, 2 Sr 4.25
Ba (0.6716, 0.4993, 0.4200)  1 Ca 4.16, 5 Ba 4.21-4.29, 2 Sr 4.25
Ba (0.6716, 0.5007, 0.9200)  1 Ca 4.16, 5 Ba 4.21-4.29, 2 Sr 4.25
Ba (0.8378, 0.0007, 0.0876)  5 Ba 4.13-4.21, 2 Ca 4.17, 1 Sr 4.24
Ba (0.8378, 0.9993, 0.5876)  5 Ba 4.13-4.21, 2 Ca 4.17, 1 Sr 4.24
Sr (0.5000, 0.0007, 0.7500)  2 Sr 4.21, 6 Ba 4.24-4.25
Sr (0.5000, 0.9993, 0.2500)  2 Sr 4.21, 6 Ba 4.24-4.25
Ca (0.0000, 0.4994, 0.7500)  6 Ba 4.16-4.17, 2 Ca 4.21
Ca (0.0000, 0.5006, 0.2500)  6 Ba 4.16-4.17, 2 Ca 4.21

---

We find model b to be the most stable, with the next structure 145 meV per atom higher.